# BiPd5Se (PBE-GGA, optimized geometry)
data_BiPd5Se
_symmetry_space_group_name_H-M 'P 1'
_symmetry_Int_Tables_number 1
_cell_length_a 4.198
_cell_length_b 4.198
_cell_length_c 7.125
_cell_angle_alpha 90.00
_cell_angle_beta 90.00
_cell_angle_gamma 90.00
loop_
_symmetry_equiv_pos_as_xyz
'x,y,z'
loop_
_atom_site_label
_atom_site_type_symbol
_atom_site_fract_x
_atom_site_fract_y
_atom_site_fract_z
_atom_site_occupancy
Bi1 Bi 0.000 0.000 0.000 1
Pd1 Pd 0.000 0.500 0.290 1
Pd2 Pd 0.000 0.500 0.710 1
Pd3 Pd 0.500 0.000 0.290 1
Pd4 Pd 0.500 0.000 0.710 1
Pd5 Pd 0.500 0.500 0.000 1
Se1 Se 0.500 0.500 0.500 1
# raw formation energy: -21.3 kJ per mole of atoms
# space-group type: P4/mmm
# Fermi-level density of states: 0.78 states/eV/atom
# magnetization: 0.000 μB/f.u.

=====

# CaMgAlAg3 (PBE-GGA, optimized geometry)
data_CaMgAlAg3
_symmetry_space_group_name_H-M 'P 1'
_symmetry_Int_Tables_number 1
_cell_length_a 7.323
_cell_length_b 7.323
_cell_length_c 5.997
_cell_angle_alpha 90.00
_cell_angle_beta 90.00
_cell_angle_gamma 123.19
loop_
_symmetry_equiv_pos_as_xyz
'x,y,z'
loop_
_atom_site_label
_atom_site_type_symbol
_atom_site_fract_x
_atom_site_fract_y
_atom_site_fract_z
_atom_site_occupancy
Ca1 Ca 0.195 0.805 0.750 1
Ca2 Ca 0.805 0.195 0.250 1
Mg1 Mg 0.438 0.562 0.750 1
Mg2 Mg 0.562 0.438 0.250 1
Al1 Al 0.138 0.862 0.250 1
Al2 Al 0.862 0.138 0.750 1
Ag1 Ag 0.201 0.201 0.000 1
Ag2 Ag 0.201 0.201 0.500 1
Ag3 Ag 0.342 0.658 0.250 1
Ag4 Ag 0.658 0.342 0.750 1
Ag5 Ag 0.799 0.799 0.000 1
Ag6 Ag 0.799 0.799 0.500 1
# space-group type: Cmcm
# formation enthalpy at 0 K: -0.068 eV/atom
# Fermi-level density of states: 0.49 states/eV/atom
# magnetization: 0.000 μB/f.u.

=====

# Sc5Ni (PBE-GGA, optimized geometry)
data_Sc5Ni
_symmetry_space_group_name_H-M 'P 1'
_symmetry_Int_Tables_number 1
_cell_length_a 5.641
_cell_length_b 5.641
_cell_length_c 5.341
_cell_angle_alpha 90.00
_cell_angle_beta 90.00
_cell_angle_gamma 120.00
loop_
_symmetry_equiv_pos_as_xyz
'x,y,z'
loop_
_atom_site_label
_atom_site_type_symbol
_atom_site_fract_x
_atom_site_fract_y
_atom_site_fract_z
_atom_site_occupancy
Sc1 Sc 0.000 0.500 0.000 1
Sc2 Sc 0.333 0.667 0.500 1
Sc3 Sc 0.500 0.000 0.000 1
Sc4 Sc 0.500 0.500 0.000 1
Sc5 Sc 0.667 0.333 0.500 1
Ni1 Ni 0.000 0.000 0.500 1
# space-group type: P6/mmm
# formation enthalpy at 0 K: 0.687 eV/atom
# Fermi-level density of states: 1.52 states/eV/atom
# magnetization: 0.000 μB/f.u.

=====

# LaAl2Ge2 (PBE-GGA, optimized geometry)
data_LaAl2Ge2
_symmetry_space_group_name_H-M 'P 1'
_symmetry_Int_Tables_number 1
_cell_length_a 4.319
_cell_length_b 4.319
_cell_length_c 7.037
_cell_angle_alpha 90.00
_cell_angle_beta 90.00
_cell_angle_gamma 120.00
loop_
_symmetry_equiv_pos_as_xyz
'x,y,z'
loop_
_atom_site_label
_atom_site_type_symbol
_atom_site_fract_x
_atom_site_fract_y
_atom_site_fract_z
_atom_site_occupancy
La1 La 0.000 0.000 0.000 1
Al1 Al 0.333 0.667 0.638 1
Al2 Al 0.667 0.333 0.362 1
Ge1 Ge 0.333 0.667 0.270 1
Ge2 Ge 0.667 0.333 0.730 1
# space-group type: P-3m1
# formation enthalpy at 0 K: -0.481 eV/atom
# Fermi-level density of states: 0.43 states/eV/atom
# magnetization: 0.000 μB/f.u.

=====

# NaTlNF2 (PBE-GGA, optimized geometry)
data_NaTlNF2
_symmetry_space_group_name_H-M 'P 1'
_symmetry_Int_Tables_number 1
_cell_length_a 4.426
_cell_length_b 4.426
_cell_length_c 4.550
_cell_angle_alpha 90.00
_cell_angle_beta 90.00
_cell_angle_gamma 90.00
loop_
_symmetry_equiv_pos_as_xyz
'x,y,z'
loop_
_atom_site_label
_atom_site_type_symbol
_atom_site_fract_x
_atom_site_fract_y
_atom_site_fract_z
_atom_site_occupancy
Na1 Na 0.000 0.000 0.000 1
Tl1 Tl 0.500 0.500 0.500 1
N1 N 0.000 0.000 0.500 1
F1 F 0.000 0.500 0.000 1
F2 F 0.500 0.000 0.000 1
# raw formation energy: -53.9 kJ per mole of atoms
# space-group type: P4/mmm
# magnetization: 3.009 μB/f.u.

=====

# Y2Mg2Ge3 (PBE-GGA, optimized geometry)
data_Y2Mg2Ge3
_symmetry_space_group_name_H-M 'P 1'
_symmetry_Int_Tables_number 1
_cell_length_a 7.960
_cell_length_b 7.960
_cell_length_c 12.054
_cell_angle_alpha 124.75
_cell_angle_beta 124.75
_cell_angle_gamma 31.74
loop_
_symmetry_equiv_pos_as_xyz
'x,y,z'
loop_
_atom_site_label
_atom_site_type_symbol
_atom_site_fract_x
_atom_site_fract_y
_atom_site_fract_z
_atom_site_occupancy
Y1 Y 0.104 0.104 0.449 1
Y2 Y 0.230 0.230 0.827 1
Y3 Y 0.770 0.770 0.173 1
Y4 Y 0.896 0.896 0.551 1
Mg1 Mg 0.091 0.091 0.162 1
Mg2 Mg 0.447 0.447 0.174 1
Mg3 Mg 0.553 0.553 0.826 1
Mg4 Mg 0.909 0.909 0.838 1
Ge1 Ge 0.138 0.138 0.982 1
Ge2 Ge 0.333 0.333 0.671 1
Ge3 Ge 0.415 0.415 0.378 1
Ge4 Ge 0.585 0.585 0.622 1
Ge5 Ge 0.667 0.667 0.329 1
Ge6 Ge 0.862 0.862 0.018 1
# space-group type: C2/m
# formation enthalpy at 0 K: -0.571 eV/atom
# Fermi-level density of states: 0.46 states/eV/atom
# magnetization: 0.000 μB/f.u.

=====

# SbOsPb2 (PBE-GGA, optimized geometry)
data_SbOsPb2
_symmetry_space_group_name_H-M 'P 1'
_symmetry_Int_Tables_number 1
_cell_length_a 3.951
_cell_length_b 4.751
_cell_length_c 5.112
_cell_angle_alpha 90.00
_cell_angle_beta 90.00
_cell_angle_gamma 90.00
loop_
_symmetry_equiv_pos_as_xyz
'x,y,z'
loop_
_atom_site_label
_atom_site_type_symbol
_atom_site_fract_x
_atom_site_fract_y
_atom_site_fract_z
_atom_site_occupancy
Sb1 Sb 0.000 0.000 0.000 1
Os1 Os 0.500 0.500 0.000 1
Pb1 Pb 0.000 0.500 0.500 1
Pb2 Pb 0.500 0.000 0.500 1
# raw formation energy: 87.6 kJ per mole of atoms
# space-group type: Pmmm
# Fermi-level density of states: 0.83 states/eV/atom
# magnetization: 0.588 μB/f.u.

=====

# La3Dy2Ho5 (PBE-GGA, optimized geometry)
data_La3Dy2Ho5
_symmetry_space_group_name_H-M 'P 1'
_symmetry_Int_Tables_number 1
_cell_length_a 9.776
_cell_length_b 9.776
_cell_length_c 9.340
_cell_angle_alpha 108.20
_cell_angle_beta 108.20
_cell_angle_gamma 113.68
loop_
_symmetry_equiv_pos_as_xyz
'x,y,z'
loop_
_atom_site_label
_atom_site_type_symbol
_atom_site_fract_x
_atom_site_fract_y
_atom_site_fract_z
_atom_site_occupancy
La1 La 0.017 0.269 0.045 1
La2 La 0.235 0.765 0.750 1
La3 La 0.269 0.017 0.545 1
La4 La 0.731 0.983 0.455 1
La5 La 0.765 0.235 0.250 1
La6 La 0.983 0.731 0.955 1
Dy1 Dy 0.233 0.465 0.456 1
Dy2 Dy 0.465 0.233 0.956 1
Dy3 Dy 0.535 0.767 0.044 1
Dy4 Dy 0.767 0.535 0.544 1
Ho1 Ho 0.026 0.974 0.750 1
Ho2 Ho 0.153 0.374 0.774 1
Ho3 Ho 0.275 0.725 0.250 1
Ho4 Ho 0.374 0.153 0.274 1
Ho5 Ho 0.470 0.530 0.250 1
Ho6 Ho 0.530 0.470 0.750 1
Ho7 Ho 0.626 0.847 0.726 1
Ho8 Ho 0.725 0.275 0.750 1
Ho9 Ho 0.847 0.626 0.226 1
Ho10 Ho 0.974 0.026 0.250 1
# space-group type: C2/c
# formation enthalpy at 0 K: 0.191 eV/atom
# Fermi-level density of states: 1.71 states/eV/atom
# magnetization: 0.000 μB/f.u.

=====

# SmZrPt (PBE-GGA, optimized geometry)
data_SmZrPt
_symmetry_space_group_name_H-M 'P 1'
_symmetry_Int_Tables_number 1
_cell_length_a 4.705
_cell_length_b 4.705
_cell_length_c 6.797
_cell_angle_alpha 90.00
_cell_angle_beta 90.00
_cell_angle_gamma 90.00
loop_
_symmetry_equiv_pos_as_xyz
'x,y,z'
loop_
_atom_site_label
_atom_site_type_symbol
_atom_site_fract_x
_atom_site_fract_y
_atom_site_fract_z
_atom_site_occupancy
Sm1 Sm 0.250 0.250 0.124 1
Sm2 Sm 0.750 0.750 0.876 1
Zr1 Zr 0.250 0.750 0.500 1
Zr2 Zr 0.750 0.250 0.500 1
Pt1 Pt 0.250 0.250 0.702 1
Pt2 Pt 0.750 0.750 0.298 1
# space-group type: P4/nmm
# formation enthalpy at 0 K: -0.806 eV/atom
# Fermi-level density of states: 0.97 states/eV/atom
# magnetization: 0.000 μB/f.u.

=====

# YAs2Se (PBE-GGA, optimized geometry)
data_YAs2Se
_symmetry_space_group_name_H-M 'P 1'
_symmetry_Int_Tables_number 1
_cell_length_a 7.051
_cell_length_b 7.051
_cell_length_c 7.051
_cell_angle_alpha 90.00
_cell_angle_beta 90.00
_cell_angle_gamma 90.00
loop_
_symmetry_equiv_pos_as_xyz
'x,y,z'
loop_
_atom_site_label
_atom_site_type_symbol
_atom_site_fract_x
_atom_site_fract_y
_atom_site_fract_z
_atom_site_occupancy
Y1 Y 0.000 0.000 0.000 1
Y2 Y 0.000 0.500 0.500 1
Y3 Y 0.500 0.000 0.500 1
Y4 Y 0.500 0.500 0.000 1
As1 As 0.000 0.000 0.500 1
As2 As 0.000 0.500 0.000 1
As3 As 0.250 0.250 0.750 1
As4 As 0.250 0.750 0.250 1
As5 As 0.500 0.000 0.000 1
As6 As 0.500 0.500 0.500 1
As7 As 0.750 0.250 0.250 1
As8 As 0.750 0.750 0.750 1
Se1 Se 0.250 0.250 0.250 1
Se2 Se 0.250 0.750 0.750 1
Se3 Se 0.750 0.250 0.750 1
Se4 Se 0.750 0.750 0.250 1
# raw formation energy: -37.5 kJ per mole of atoms
# space-group type: F-43m
# Fermi-level density of states: 1.14 states/eV/atom
# magnetization: 0.000 μB/f.u.

=====

# CePmSbTe (PBE-GGA, optimized geometry)
data_CePmSbTe
_symmetry_space_group_name_H-M 'P 1'
_symmetry_Int_Tables_number 1
_cell_length_a 7.728
_cell_length_b 7.728
_cell_length_c 7.728
_cell_angle_alpha 90.00
_cell_angle_beta 90.00
_cell_angle_gamma 90.00
loop_
_symmetry_equiv_pos_as_xyz
'x,y,z'
loop_
_atom_site_label
_atom_site_type_symbol
_atom_site_fract_x
_atom_site_fract_y
_atom_site_fract_z
_atom_site_occupancy
Ce1 Ce 0.000 0.000 0.000 1
Ce2 Ce 0.000 0.500 0.500 1
Ce3 Ce 0.500 0.000 0.500 1
Ce4 Ce 0.500 0.500 0.000 1
Pm1 Pm 0.000 0.000 0.500 1
Pm2 Pm 0.000 0.500 0.000 1
Pm3 Pm 0.500 0.000 0.000 1
Pm4 Pm 0.500 0.500 0.500 1
Sb1 Sb 0.250 0.250 0.250 1
Sb2 Sb 0.250 0.750 0.750 1
Sb3 Sb 0.750 0.250 0.750 1
Sb4 Sb 0.750 0.750 0.250 1
Te1 Te 0.250 0.250 0.750 1
Te2 Te 0.250 0.750 0.250 1
Te3 Te 0.750 0.250 0.250 1
Te4 Te 0.750 0.750 0.750 1
# raw formation energy: -104.5 kJ per mole of atoms
# space-group type: F-43m
# Fermi-level density of states: 1.40 states/eV/atom
# magnetization: 1.878 μB/f.u.

=====

# La2PuHg (PBE-GGA, optimized geometry)
data_La2PuHg
_symmetry_space_group_name_H-M 'P 1'
_symmetry_Int_Tables_number 1
_cell_length_a 5.677
_cell_length_b 5.677
_cell_length_c 3.675
_cell_angle_alpha 90.00
_cell_angle_beta 90.00
_cell_angle_gamma 90.00
loop_
_symmetry_equiv_pos_as_xyz
'x,y,z'
loop_
_atom_site_label
_atom_site_type_symbol
_atom_site_fract_x
_atom_site_fract_y
_atom_site_fract_z
_atom_site_occupancy
La1 La 0.000 0.500 0.000 1
La2 La 0.500 0.000 0.000 1
Pu1 Pu 0.000 0.000 0.500 1
Hg1 Hg 0.500 0.500 0.500 1
# space-group type: P4/mmm
# formation enthalpy at 0 K: -0.149 eV/atom
# Fermi-level density of states: 2.23 states/eV/atom
# magnetization: 6.558 μB/f.u.

=====

What is the magnetization in the first record? 0.000 μB/f.u.

=====

magnetization of number 4 (LaAl2Ge2)? 0.000 μB/f.u.